Record 1
The following is a DFT calculation (GGA-PBE) of an optimized crystal structure of Ca2GaH.

SG   R-3m (166)
Polymorph energy (0 for the lowest one)   365 meV/atom
Crystal system   trigonal

a = 9.1835 Å, b = 9.1835 Å, c = 9.1835 Å
α = 22.72°, β = 22.72°, γ = 22.72°
Positions (direct):
Ca: 0.1124 0.1124 0.1124
Ca: 0.8876 0.8876 0.8876
Ga: 0.0000 0.0000 0.0000
H: 0.5000 0.5000 0.5000

=====

Record 2
The following is a DFT calculation (GGA-PBE) of an optimized crystal structure of Ca6Ga2H.

SG   P2_1/c (14)
Crystal system   monoclinic
Final energy   -2.69 eV/atom

a = 6.6253 Å, b = 8.1394 Å, c = 11.6016 Å
α = 90.00°, β = 123.41°, γ = 90.00°
Positions (direct):
Ca: 0.1122 0.1654 0.4418
Ca: 0.1122 0.3346 0.9418
Ca: 0.2842 0.6803 0.4390
Ca: 0.2842 0.8197 0.9390
Ca: 0.3651 0.0317 0.2509
Ca: 0.3651 0.4683 0.7509
Ca: 0.6349 0.5317 0.2491
Ca: 0.6349 0.9683 0.7491
Ca: 0.7158 0.1803 0.0610
Ca: 0.7158 0.3197 0.5610
Ca: 0.8878 0.6654 0.0582
Ca: 0.8878 0.8346 0.5582
Ga: 0.2035 0.1163 0.7495
Ga: 0.2035 0.3837 0.2495
Ga: 0.7965 0.6163 0.7505
Ga: 0.7965 0.8837 0.2505
H: 0.5000 0.0000 0.5000
H: 0.5000 0.5000 0.0000

=====

Record 3
The following is a DFT calculation (GGA-PBE) of an optimized crystal structure of Ca6Ga3H.

SG   Cmc2_1 (36)
Crystal system   orthorhombic
Final energy   -2.79 eV/atom

a = 9.2699 Å, b = 9.2699 Å, c = 6.4779 Å
α = 90.00°, β = 90.00°, γ = 101.13°
Positions (direct):
Ca: 0.0813 0.9187 0.5000
Ca: 0.1361 0.5478 0.2635
Ca: 0.2393 0.3108 0.7822
Ca: 0.3025 0.6975 0.7611
Ca: 0.3108 0.2393 0.2822
Ca: 0.4522 0.8639 0.2635
Ca: 0.5478 0.1361 0.7635
Ca: 0.6892 0.7607 0.7822
Ca: 0.6975 0.3025 0.2611
Ca: 0.7607 0.6892 0.2822
Ca: 0.8639 0.4522 0.7635
Ca: 0.9187 0.0813 0.0000
Ga: 0.0109 0.7648 0.9550
Ga: 0.2352 0.9891 0.9550
Ga: 0.4774 0.5226 0.0566
Ga: 0.5226 0.4774 0.5566
Ga: 0.7648 0.0109 0.4550
Ga: 0.9891 0.2352 0.4550
H: 0.2432 0.7568 0.4408
H: 0.7568 0.2432 0.9408

=====

Record 4
The following is a DFT calculation (GGA-PBE) of an optimized crystal structure of Ca2GaH2.

SG   P4/mbm (127)
Polymorph energy (0 for the lowest one)   282 meV/atom
Crystal system   tetragonal

a = 7.2705 Å, b = 7.2705 Å, c = 3.1364 Å
α = 90.00°, β = 90.00°, γ = 90.00°
Positions (direct):
Ca: 0.1779 0.3221 0.0000
Ca: 0.3221 0.8221 0.0000
Ca: 0.6779 0.1779 0.0000
Ca: 0.8221 0.6779 0.0000
Ga: 0.0000 0.0000 0.5000
Ga: 0.5000 0.5000 0.5000
H: 0.1190 0.6190 0.5000
H: 0.3810 0.1190 0.5000
H: 0.6190 0.8810 0.5000
H: 0.8810 0.3810 0.5000

=====

Record 5
The following is a DFT calculation (GGA-PBE) of an optimized crystal structure of CaGa2H2.

SG   P4/mbm (127)
Crystal system   tetragonal
Final energy   -3.07 eV/atom

a = 6.0508 Å, b = 6.0508 Å, c = 4.1268 Å
α = 90.00°, β = 90.00°, γ = 90.00°
Positions (direct):
Ca: 0.0000 0.0000 0.0000
Ca: 0.5000 0.5000 0.0000
Ga: 0.1642 0.3358 0.5000
Ga: 0.3358 0.8358 0.5000
Ga: 0.6642 0.1642 0.5000
Ga: 0.8358 0.6642 0.5000
H: 0.1697 0.3303 0.0000
H: 0.3303 0.8303 0.0000
H: 0.6697 0.1697 0.0000
H: 0.8303 0.6697 0.0000

=====

Record 6
The following is a DFT calculation (GGA-PBE) of an optimized crystal structure of Ca3GaH.

SG   Pm-3m (221)
Polymorph energy (0 for the lowest one)   0 meV/atom
Crystal system   cubic

a = 4.8841 Å, b = 4.8841 Å, c = 4.8841 Å
α = 90.00°, β = 90.00°, γ = 90.00°
Positions (direct):
Ca: 0.0000 0.0000 0.5000
Ca: 0.0000 0.5000 0.0000
Ca: 0.5000 0.0000 0.0000
Ga: 0.5000 0.5000 0.5000
H: 0.0000 0.0000 0.0000

=====

Record 7
The following is a DFT calculation (GGA-PBE) of an optimized crystal structure of Ca2GaH.

SG   Fm-3m (225)
Polymorph energy (0 for the lowest one)   326 meV/atom
Crystal system   cubic

a = 5.0493 Å, b = 5.0493 Å, c = 5.0493 Å
α = 60.00°, β = 60.00°, γ = 60.00°
Positions (direct):
Ca: 0.2500 0.2500 0.2500
Ca: 0.7500 0.7500 0.7500
Ga: 0.0000 0.0000 0.0000
H: 0.5000 0.5000 0.5000

=====

Record 8
The following is a DFT calculation (GGA-PBE) of an optimized crystal structure of CaGa3H.

SG   Pm-3m (221)
Polymorph energy (0 for the lowest one)   1197 meV/atom
Crystal system   cubic

a = 5.8239 Å, b = 5.8239 Å, c = 5.8239 Å
α = 90.00°, β = 90.00°, γ = 90.00°
Positions (direct):
Ca: 0.0000 0.0000 0.0000
Ga: 0.0000 0.0000 0.5000
Ga: 0.0000 0.5000 0.0000
Ga: 0.5000 0.0000 0.0000
H: 0.5000 0.5000 0.5000

=====

| no. | DOS at the Fermi energy (states/eV/cell) |
| --- | --- |
| 1 | 2.17 |
| 2 | 10.67 |
| 3 | 8.39 |
| 4 | 6.79 |
| 5 | 2.71 |
| 6 | 2.31 |
| 7 | 2.50 |
| 8 | 6.85 |